(1)
This record from Alexandria via LeMat-Bulk describes a geometry-optimized Zn2Pd4Au3 structure. The functional is PBE.

Properties
Its density is 12.9 g/cm³. Its polymorph energy (0 for the lowest one) is 83 meV/atom. The density of states at the Fermi level comes out at 2.970 states/eV/f.u. The energy of formation from the pure elements comes out at -0.196 eV/atom.

Cell: 7.7107 7.7107 4.9928 Å, 90.74 90.74 84.99°
Closest atoms and distances in Å follow each position.
Atoms (fractional coordinates):
Zn (0.1348, 0.2992, 0.0868)  5 Pd 2.54-2.78, 3 Au 2.63-2.75
Zn (0.2992, 0.1348, 0.5868)  5 Pd 2.54-2.78, 3 Au 2.63-2.75
Zn (0.7008, 0.8652, 0.4132)  5 Pd 2.54-2.78, 3 Au 2.63-2.75
Zn (0.8652, 0.7008, 0.9132)  5 Pd 2.54-2.78, 3 Au 2.63-2.75
Pd (0.0046, 0.3310, 0.6043)  3 Zn 2.60-2.78, 2 Pd 2.81-2.86, 2 Au 2.82-2.83
Pd (0.1891, 0.6052, 0.9139)  2 Zn 2.54-2.59, 2 Au 2.81-2.83
Pd (0.3310, 0.0046, 0.1043)  3 Zn 2.60-2.78, 2 Pd 2.81-2.86, 2 Au 2.82-2.83
Pd (0.3948, 0.8109, 0.5861)  2 Zn 2.54-2.59, 2 Au 2.81-2.83
Pd (0.6052, 0.1891, 0.4139)  2 Zn 2.54-2.59, 2 Au 2.81-2.83
Pd (0.6690, 0.9954, 0.8957)  3 Zn 2.60-2.78, 2 Pd 2.81-2.86, 2 Au 2.82-2.83
Pd (0.8109, 0.3948, 0.0861)  2 Zn 2.54-2.59, 2 Au 2.81-2.83
Pd (0.9954, 0.6690, 0.3957)  3 Zn 2.60-2.78, 2 Pd 2.81-2.86, 2 Au 2.82-2.83
Au (0.0534, 0.9466, 0.7500)  2 Zn 2.63, 2 Au 2.73, 4 Pd 2.82-2.87
Au (0.3222, 0.4712, 0.4258)  2 Zn 2.63-2.75, 6 Pd 2.81-2.94, 3 Au 2.90-2.94
Au (0.4712, 0.3222, 0.9258)  2 Zn 2.63-2.75, 6 Pd 2.81-2.94, 3 Au 2.90-2.94
Au (0.5288, 0.6778, 0.0742)  2 Zn 2.63-2.75, 6 Pd 2.81-2.94, 3 Au 2.90-2.94
Au (0.6778, 0.5288, 0.5742)  2 Zn 2.63-2.75, 6 Pd 2.81-2.94, 3 Au 2.90-2.94
Au (0.9466, 0.0534, 0.2500)  2 Zn 2.63, 2 Au 2.73, 4 Pd 2.82-2.87

(2)
This record from Alexandria via LeMat-Bulk describes a geometry-optimized Zn4PdAu12 structure. The functional is PBE.

Properties
Its density is 13.2 g/cm³. The density of states at the Fermi level comes out at 6.503 states/eV/f.u. The energy of formation from the pure elements comes out at 0.227 eV/atom.

Cell: 7.6521 7.6521 7.6521 Å, 109.47 109.47 109.47°
Closest atoms and distances in Å follow each position.
Atoms (fractional coordinates):
Zn (0.0000, 0.0000, 0.5000)  6 Au 2.51
Zn (0.0000, 0.5000, 0.0000)  6 Au 2.51
Zn (0.5000, 0.0000, 0.0000)  6 Au 2.51
Zn (0.5000, 0.5000, 0.5000)  6 Au 2.51
Pd (0.0000, 0.0000, 0.0000)  12 Au 3.33
Au (0.1540, 0.3445, 0.4986)  2 Zn 2.51, 2 Au 2.72-2.75
Au (0.1540, 0.6555, 0.8095)  2 Zn 2.51, 2 Au 2.72-2.75
Au (0.1905, 0.8460, 0.3445)  2 Zn 2.51, 2 Au 2.72-2.75
Au (0.3445, 0.1905, 0.8460)  2 Zn 2.51, 2 Au 2.72-2.75
Au (0.3445, 0.4986, 0.1540)  2 Zn 2.51, 2 Au 2.72-2.75
Au (0.4986, 0.1540, 0.3445)  2 Zn 2.51, 2 Au 2.72-2.75
Au (0.5014, 0.8460, 0.6555)  2 Zn 2.51, 2 Au 2.72-2.75
Au (0.6555, 0.5014, 0.8460)  2 Zn 2.51, 2 Au 2.72-2.75
Au (0.6555, 0.8095, 0.1540)  2 Zn 2.51, 2 Au 2.72-2.75
Au (0.8095, 0.1540, 0.6555)  2 Zn 2.51, 2 Au 2.72-2.75
Au (0.8460, 0.3445, 0.1905)  2 Zn 2.51, 2 Au 2.72-2.75
Au (0.8460, 0.6555, 0.5014)  2 Zn 2.51, 2 Au 2.72-2.75

(3)
This record from Alexandria via LeMat-Bulk describes a geometry-optimized ZnPd2Au8 structure. The functional is PBE.

Properties
Its density is 16.3 g/cm³. The density of states at the Fermi level comes out at 3.425 states/eV/f.u. The energy of formation from the pure elements comes out at -0.098 eV/atom.

Cell: 7.6166 7.6166 6.5163 Å, 105.80 105.80 31.47°
Closest atoms and distances in Å follow each position.
Atoms (fractional coordinates):
Zn (0.0000, 0.0000, 0.0000)  12 Au 2.85-2.90
Pd (0.2740, 0.2740, 0.3641)  10 Au 2.86-2.93, 2 Pd 2.93
Pd (0.7260, 0.7260, 0.6359)  10 Au 2.86-2.93, 2 Pd 2.93
Au (0.0928, 0.0928, 0.4486)  1 Zn 2.85, 3 Pd 2.86-2.87, 8 Au 2.88-2.98
Au (0.1805, 0.1805, 0.9107)  1 Zn 2.87, 8 Au 2.87-2.92, 3 Pd 2.88-2.93
Au (0.3633, 0.3633, 0.8161)  3 Pd 2.86-2.89, 7 Au 2.87-2.92, 2 Zn 2.89
Au (0.4546, 0.4546, 0.2686)  9 Au 2.87-2.98, 1 Pd 2.89, 2 Zn 2.90
Au (0.5454, 0.5454, 0.7314)  9 Au 2.87-2.98, 1 Pd 2.89, 2 Zn 2.90
Au (0.6367, 0.6367, 0.1839)  3 Pd 2.86-2.89, 7 Au 2.87-2.92, 2 Zn 2.89
Au (0.8195, 0.8195, 0.0893)  1 Zn 2.87, 8 Au 2.87-2.92, 3 Pd 2.88-2.93
Au (0.9072, 0.9072, 0.5514)  1 Zn 2.85, 3 Pd 2.86-2.87, 8 Au 2.88-2.98

(4)
This record from Alexandria via LeMat-Bulk describes a geometry-optimized Zn2Pd3Au3 structure. The functional is PBE.

Properties
Its density is 13.4 g/cm³. Its polymorph energy (0 for the lowest one) is 0 meV/atom. The density of states at the Fermi level comes out at 2.630 states/eV/f.u. The energy of formation from the pure elements comes out at -0.296 eV/atom.

Cell: 7.1337 7.1337 2.9279 Å, 90.00 90.00 120.00°
Closest atoms and distances in Å follow each position.
Atoms (fractional coordinates):
Zn (0.3333, 0.6667, 0.0000)  6 Pd 2.63, 3 Au 2.78, 2 Zn 2.93
Zn (0.6667, 0.3333, 0.0000)  6 Pd 2.63, 3 Au 2.78, 2 Zn 2.93
Pd (0.0000, 0.6001, 0.5000)  4 Zn 2.63, 4 Au 2.88, 2 Pd 2.93
Pd (0.3999, 0.3999, 0.5000)  4 Zn 2.63, 4 Au 2.88, 2 Pd 2.93
Pd (0.6001, 0.0000, 0.5000)  4 Zn 2.63, 4 Au 2.88, 2 Pd 2.93
Au (0.0000, 0.2377, 0.0000)  2 Zn 2.78, 6 Pd 2.88-2.97, 4 Au 2.93-2.94
Au (0.2377, 0.0000, 0.0000)  2 Zn 2.78, 6 Pd 2.88-2.97, 4 Au 2.93-2.94
Au (0.7623, 0.7623, 0.0000)  2 Zn 2.78, 6 Pd 2.88-2.97, 4 Au 2.93-2.94

(5)
This record from Alexandria via LeMat-Bulk describes a geometry-optimized Zn5PdAu2 structure. The functional is PBE.

Properties
Its density is 11.1 g/cm³. The density of states at the Fermi level comes out at 2.201 states/eV/f.u. The energy of formation from the pure elements comes out at -0.250 eV/atom.

Cell: 7.8000 7.8000 7.8000 Å, 149.30 149.30 43.97°
Closest atoms and distances in Å follow each position.
Atoms (fractional coordinates):
Zn (0.0000, 0.0000, 0.0000)  8 Zn 2.70, 4 Pd 2.92
Zn (0.1203, 0.6203, 0.5000)  6 Zn 2.70-2.92, 2 Pd 2.70, 4 Au 2.74-2.85
Zn (0.3797, 0.8797, 0.5000)  2 Pd 2.70, 6 Zn 2.70-2.92, 4 Au 2.74-2.85
Zn (0.6203, 0.1203, 0.5000)  6 Zn 2.70-2.92, 2 Pd 2.70, 4 Au 2.74-2.85
Zn (0.8797, 0.3797, 0.5000)  2 Pd 2.70, 6 Zn 2.70-2.92, 4 Au 2.74-2.85
Pd (0.5000, 0.5000, 0.0000)  12 Zn 2.70-2.92
Au (0.2557, 0.2557, 0.0000)  8 Zn 2.74-2.85, 4 Au 2.93
Au (0.7443, 0.7443, 0.0000)  8 Zn 2.74-2.85, 4 Au 2.93

(6)
This record from Alexandria via LeMat-Bulk describes a geometry-optimized ZnPdAu4 structure. The functional is PBE.

Properties
Its density is 15.7 g/cm³. Its polymorph energy (0 for the lowest one) is 0 meV/atom. The density of states at the Fermi level comes out at 1.597 states/eV/f.u. The energy of formation from the pure elements comes out at -0.158 eV/atom.

Cell: 5.0254 5.0254 5.7199 Å, 107.27 107.27 48.15°
Closest atoms and distances in Å follow each position.
Atoms (fractional coordinates):
Zn (0.0000, 0.0000, 0.0000)  10 Au 2.84-2.90, 2 Pd 2.86
Pd (0.0000, 0.0000, 0.5000)  2 Zn 2.86, 10 Au 2.87-2.94
Au (0.3339, 0.3339, 0.1677)  7 Au 2.84-2.91, 2 Pd 2.87, 3 Zn 2.90
Au (0.3386, 0.3386, 0.6732)  7 Au 2.84-2.95, 2 Zn 2.84, 3 Pd 2.89-2.94
Au (0.6614, 0.6614, 0.3268)  7 Au 2.84-2.95, 2 Zn 2.84, 3 Pd 2.89-2.94
Au (0.6661, 0.6661, 0.8323)  7 Au 2.84-2.91, 2 Pd 2.87, 3 Zn 2.90

(7)
This record from Alexandria via LeMat-Bulk describes a geometry-optimized ZnPd5Au structure. The functional is PBE.

Properties
Its density is 11.5 g/cm³. Its polymorph energy (0 for the lowest one) is 0 meV/atom. The density of states at the Fermi level comes out at 8.148 states/eV/f.u. The energy of formation from the pure elements comes out at -0.089 eV/atom.

Cell: 3.9955 3.9955 7.1880 Å, 90.00 90.00 90.00°
Closest atoms and distances in Å follow each position.
Atoms (fractional coordinates):
Zn (0.0000, 0.0000, 0.0000)  8 Pd 2.54
Pd (0.0000, 0.0000, 0.5000)  4 Au 2.83, 8 Pd 2.85
Pd (0.0000, 0.5000, 0.2177)  2 Zn 2.54, 4 Pd 2.83
Pd (0.0000, 0.5000, 0.7823)  2 Zn 2.54, 4 Pd 2.83
Pd (0.5000, 0.0000, 0.2177)  2 Zn 2.54, 4 Pd 2.83
Pd (0.5000, 0.0000, 0.7823)  2 Zn 2.54, 4 Pd 2.83
Au (0.5000, 0.5000, 0.5000)  12 Pd 2.83-2.85

(8)
This record from Alexandria via LeMat-Bulk describes a geometry-optimized Zn2PdAu structure. The functional is PBE.

Properties
Its density is 11.8 g/cm³. The density of states at the Fermi level comes out at 0.609 states/eV/f.u. The energy of formation from the pure elements comes out at -0.384 eV/atom.

Cell: 3.2109 3.2109 5.9431 Å, 90.00 90.00 90.00°
Closest atoms and distances in Å follow each position.
Atoms (fractional coordinates):
Zn (0.0000, 0.0000, 0.2375)  4 Pd 2.67, 4 Au 2.75, 1 Zn 2.82
Zn (0.0000, 0.0000, 0.7625)  4 Pd 2.67, 4 Au 2.75, 1 Zn 2.82
Pd (0.5000, 0.5000, 0.0000)  8 Zn 2.67, 2 Au 2.97
Au (0.5000, 0.5000, 0.5000)  8 Zn 2.75, 2 Pd 2.97

(9)
This record from Alexandria via LeMat-Bulk describes a geometry-optimized Zn3PdAu4 structure. The functional is PBE.

Properties
Its density is 13.9 g/cm³. Its polymorph energy (0 for the lowest one) is 0 meV/atom. The density of states at the Fermi level comes out at 2.188 states/eV/f.u. The energy of formation from the pure elements comes out at -0.233 eV/atom.

Cell: 8.3138 8.3138 4.0945 Å, 104.11 104.11 28.47°
Closest atoms and distances in Å follow each position.
Atoms (fractional coordinates):
Zn (0.0000, 0.0000, 0.0000)  8 Au 2.87-2.88, 4 Pd 2.89
Zn (0.2530, 0.2530, 0.2531)  8 Au 2.74-2.81, 4 Zn 2.89-2.90
Zn (0.7470, 0.7470, 0.7469)  8 Au 2.74-2.81, 4 Zn 2.89-2.90
Pd (0.5000, 0.5000, 0.5000)  8 Au 2.87-2.88, 4 Zn 2.89
Au (0.1297, 0.1297, 0.6291)  6 Zn 2.74-2.88, 2 Pd 2.88, 4 Au 2.89
Au (0.3709, 0.3709, 0.8714)  6 Zn 2.75-2.87, 2 Pd 2.87, 4 Au 2.89
Au (0.6291, 0.6291, 0.1286)  6 Zn 2.75-2.87, 2 Pd 2.87, 4 Au 2.89
Au (0.8703, 0.8703, 0.3709)  6 Zn 2.74-2.88, 2 Pd 2.88, 4 Au 2.89

(10)
This record from Alexandria via LeMat-Bulk describes a geometry-optimized ZnPd3Au3 structure. The functional is PBE.

Properties
Its density is 13.4 g/cm³. The density of states at the Fermi level comes out at 2.173 states/eV/f.u. The energy of formation from the pure elements comes out at -0.137 eV/atom.

Cell: 5.9385 5.9385 6.8912 Å, 90.01 90.01 86.07°
Closest atoms and distances in Å follow each position.
Atoms (fractional coordinates):
Zn (0.2461, 0.2461, 0.4989)  6 Pd 2.58-2.61, 2 Au 2.69
Zn (0.7539, 0.7539, 0.5011)  6 Pd 2.58-2.61, 2 Au 2.69
Pd (0.9997, 0.9997, 0.2822)  2 Zn 2.61, 4 Au 2.88-2.92
Pd (0.0003, 0.0003, 0.7178)  2 Zn 2.61, 4 Au 2.88-2.92
Pd (0.0007, 0.4994, 0.7324)  2 Zn 2.58, 6 Au 2.74-2.85
Pd (0.4994, 0.0007, 0.7324)  2 Zn 2.58, 6 Au 2.74-2.85
Pd (0.5006, 0.9993, 0.2676)  2 Zn 2.58, 6 Au 2.74-2.85
Pd (0.9993, 0.5006, 0.2676)  2 Zn 2.58, 6 Au 2.74-2.85
Au (0.2527, 0.2527, 0.0009)  6 Pd 2.74-2.93, 4 Au 2.88-3.06
Au (0.2625, 0.7375, 0.0000)  6 Pd 2.85-2.88, 4 Au 2.88-3.06
Au (0.3093, 0.6907, 0.5000)  2 Zn 2.69, 6 Pd 2.74-2.92
Au (0.6907, 0.3093, 0.5000)  2 Zn 2.69, 6 Pd 2.74-2.92
Au (0.7375, 0.2625, 0.0000)  6 Pd 2.85-2.88, 4 Au 2.88-3.06
Au (0.7473, 0.7473, 0.9991)  6 Pd 2.74-2.93, 4 Au 2.88-3.06

(11)
This record from Alexandria via LeMat-Bulk describes a geometry-optimized Zn8PdAu3 structure. The functional is PBE.

Properties
Its density is 10.1 g/cm³. Its polymorph energy (0 for the lowest one) is 0 meV/atom. The density of states at the Fermi level comes out at 2.911 states/eV/f.u. The energy of formation from the pure elements comes out at -0.170 eV/atom.

Cell: 5.5059 6.4272 6.8466 Å, 109.84 105.73 106.16°
Closest atoms and distances in Å follow each position.
Atoms (fractional coordinates):
Zn (0.0000, 0.0000, 0.0000)  4 Zn 2.62-2.92, 1 Pd 2.67, 3 Au 2.74-2.90
Zn (0.0290, 0.7549, 0.6202)  1 Pd 2.61, 3 Zn 2.62-2.69, 2 Au 2.71-2.77
Zn (0.2350, 0.0385, 0.4500)  3 Au 2.60-2.70, 4 Zn 2.64-2.91, 1 Pd 2.66
Zn (0.2831, 0.5260, 0.1194)  3 Zn 2.61-2.67, 3 Au 2.63-2.86, 1 Pd 2.72
Zn (0.4204, 0.5394, 0.7773)  1 Pd 2.56, 2 Au 2.59-2.72, 2 Zn 2.67-2.77
Zn (0.5046, 0.1334, 0.9333)  3 Au 2.62-2.70, 2 Zn 2.69-2.88
Zn (0.6727, 0.9553, 0.2677)  1 Pd 2.56, 3 Zn 2.62-2.86, 3 Au 2.65-2.72
Zn (0.8781, 0.3286, 0.7199)  3 Zn 2.61-2.86, 3 Au 2.73-2.79, 1 Pd 2.85
Pd (0.0567, 0.3593, 0.3730)  7 Zn 2.56-2.85, 2 Au 2.75-2.76
Au (0.5441, 0.3410, 0.3522)  7 Zn 2.60-2.90, 2 Pd 2.75-2.76
Au (0.5715, 0.8446, 0.5950)  8 Zn 2.62-2.86
Au (0.8401, 0.6081, 0.1148)  7 Zn 2.59-2.87